# 1
# CuWBr2 | the Alexandria database | PBE | optimized geometry
data_CuWBr2
_chemical_formula_sum 'Cu2 W2 Br4'
_symmetry_space_group_name_H-M 'C m m m'
_symmetry_Int_Tables_number 65
_symmetry_space_group_name_Hall '-C 2 2'
_cell_length_a 3.0458
_cell_length_b 5.8101
_cell_length_c 10.3380
_cell_angle_alpha 90.00
_cell_angle_beta 90.00
_cell_angle_gamma 90.00
loop_
_atom_site_label
_atom_site_type_symbol
_atom_site_fract_x
_atom_site_fract_y
_atom_site_fract_z
Cu1 Cu 0.0000 0.0000 0.0000
W1 W 0.0000 0.0000 0.5000
Br1 Br 0.0000 0.5000 0.2983
# - Total magnetic moment: 2.0 μB/cell
# - ΔE_f (raw): 795 meV/atom

=====

# 2
# LaDy2Tl9 | the Alexandria database | PBE | optimized geometry
data_LaDy2Tl9
_chemical_formula_sum 'La1 Dy2 Tl9'
_symmetry_space_group_name_H-M 'P 4/m m m'
_symmetry_Int_Tables_number 123
_symmetry_space_group_name_Hall '-P 4 2'
_cell_length_a 4.8113
_cell_length_b 4.8113
_cell_length_c 14.4038
_cell_angle_alpha 90.00
_cell_angle_beta 90.00
_cell_angle_gamma 90.00
loop_
_atom_site_label
_atom_site_type_symbol
_atom_site_fract_x
_atom_site_fract_y
_atom_site_fract_z
La1 La 0.0000 0.0000 0.0000
Dy1 Dy 0.0000 0.0000 0.3371
Tl1 Tl 0.0000 0.5000 0.1723
Tl2 Tl 0.0000 0.5000 0.5000
Tl3 Tl 0.5000 0.5000 0.0000
Tl4 Tl 0.5000 0.5000 0.3351
# - Total magnetic moment: 0.0 μB/cell
# - DFT formation energy: -0.2764 eV/atom

=====

# 3
# Ti2CuHg2 | the Alexandria database | PBE | optimized geometry
data_Ti2CuHg2
_chemical_formula_sum 'Ti4 Cu2 Hg4'
_symmetry_space_group_name_H-M 'P 4/m b m'
_symmetry_Int_Tables_number 127
_symmetry_space_group_name_Hall '-P 4 2ab'
_cell_length_a 6.9191
_cell_length_b 6.9191
_cell_length_c 3.9426
_cell_angle_alpha 90.00
_cell_angle_beta 90.00
_cell_angle_gamma 90.00
loop_
_atom_site_label
_atom_site_type_symbol
_atom_site_fract_x
_atom_site_fract_y
_atom_site_fract_z
Ti1 Ti 0.1599 0.3401 0.0000
Cu1 Cu 0.0000 0.0000 0.5000
Hg1 Hg 0.1459 0.6459 0.5000
# - Total magnetic moment: 0.0 μB/cell
# - DFT formation energy: 0.2313 eV/atom

=====

# 4
# Cd3In2 | the Alexandria database | PBE | optimized geometry
data_Cd3In2
_chemical_formula_sum 'Cd9 In6'
_symmetry_space_group_name_H-M 'R -3 m'
_symmetry_Int_Tables_number 166
_symmetry_space_group_name_Hall '-R 3 2"'
_cell_length_a 3.4621
_cell_length_b 3.4621
_cell_length_c 35.2639
_cell_angle_alpha 90.00
_cell_angle_beta 90.00
_cell_angle_gamma 120.00
loop_
_atom_site_label
_atom_site_type_symbol
_atom_site_fract_x
_atom_site_fract_y
_atom_site_fract_z
Cd1 Cd 0.0000 0.0000 0.0000
Cd2 Cd 0.0000 0.0000 0.1986
In1 In 0.0000 0.0000 0.4004
# - Total magnetic moment: 0.0 μB/cell
# - DFT formation energy: 0.0305 eV/atom

=====

# 5
# FeRe4Pb | the Alexandria database | PBE | optimized geometry
data_FeRe4Pb
_chemical_formula_sum 'Fe4 Re16 Pb4'
_symmetry_space_group_name_H-M 'F -4 3 m'
_symmetry_Int_Tables_number 216
_symmetry_space_group_name_Hall 'F -4 2 3'
_cell_length_a 7.4466
_cell_length_b 7.4466
_cell_length_c 7.4466
_cell_angle_alpha 90.00
_cell_angle_beta 90.00
_cell_angle_gamma 90.00
loop_
_atom_site_label
_atom_site_type_symbol
_atom_site_fract_x
_atom_site_fract_y
_atom_site_fract_z
Fe1 Fe 0.0000 0.0000 0.0000
Re1 Re 0.1256 0.1256 0.3744
Pb1 Pb 0.2500 0.2500 0.7500
# - Total magnetic moment: 12.3 μB/cell
# - DFT formation energy: 0.8311 eV/atom

=====

# 6
# ZnOsS2Cl | the Alexandria database | PBE | optimized geometry
data_ZnOsS2Cl
_chemical_formula_sum 'Zn1 Os1 S2 Cl1'
_symmetry_space_group_name_H-M 'P 4/m m m'
_symmetry_Int_Tables_number 123
_symmetry_space_group_name_Hall '-P 4 2'
_cell_length_a 4.7019
_cell_length_b 4.7019
_cell_length_c 4.6096
_cell_angle_alpha 90.00
_cell_angle_beta 90.00
_cell_angle_gamma 90.00
loop_
_atom_site_label
_atom_site_type_symbol
_atom_site_fract_x
_atom_site_fract_y
_atom_site_fract_z
Zn1 Zn 0.0000 0.0000 0.0000
Os1 Os 0.5000 0.5000 0.5000
S1 S 0.0000 0.5000 0.0000
Cl1 Cl 0.0000 0.0000 0.5000
# - Total magnetic moment: 4.1 μB/cell
# - ΔE_f (raw): 1214 meV/atom

=====

# 7
# TcP2Ru | the Alexandria database | PBE | optimized geometry
data_TcP2Ru
_chemical_formula_sum 'Tc2 P4 Ru2'
_symmetry_space_group_name_H-M 'I m m m'
_symmetry_Int_Tables_number 71
_symmetry_space_group_name_Hall '-I 2 2'
_cell_length_a 2.8957
_cell_length_b 5.1377
_cell_length_c 7.5812
_cell_angle_alpha 90.00
_cell_angle_beta 90.00
_cell_angle_gamma 90.00
loop_
_atom_site_label
_atom_site_type_symbol
_atom_site_fract_x
_atom_site_fract_y
_atom_site_fract_z
Tc1 Tc 0.0000 0.0000 0.0000
P1 P 0.0000 0.5000 0.2480
Ru1 Ru 0.0000 0.0000 0.5000
# - Total magnetic moment: 0.0 μB/cell
# - DFT formation energy: 0.1019 eV/atom

=====

# 8
# LiTePtS2 | the Alexandria database | PBE | optimized geometry
data_LiTePtS2
_chemical_formula_sum 'Li1 Te1 Pt1 S2'
_symmetry_space_group_name_H-M 'P 4/m m m'
_symmetry_Int_Tables_number 123
_symmetry_space_group_name_Hall '-P 4 2'
_cell_length_a 5.1073
_cell_length_b 5.1073
_cell_length_c 4.8286
_cell_angle_alpha 90.00
_cell_angle_beta 90.00
_cell_angle_gamma 90.00
loop_
_atom_site_label
_atom_site_type_symbol
_atom_site_fract_x
_atom_site_fract_y
_atom_site_fract_z
Li1 Li 0.0000 0.0000 0.0000
Te1 Te 0.0000 0.0000 0.5000
Pt1 Pt 0.5000 0.5000 0.0000
S1 S 0.0000 0.5000 0.5000
# - Total magnetic moment: 1.0 μB/cell
# - ΔE_f (raw): 820 meV/atom

=====

> What is the total magnetic moment in the fifth record?

12.3 μB/cell

=====

> The highest total magnetic moment belongs to which entry?

FeRe4Pb